TaReSb2 (PBEsol, optimized geometry); energy relative to the elements, uncorrected = 0.690 eV per atom; ρ = 13.322 g cm⁻³
1.0
5.9918 0.0000 0.0000
0.0000 8.7717 0.0000
-1.2268 0.0000 2.8966
Ta Re Sb
2 2 4
direct
0.0000 0.0000 0.0000
0.5000 0.5000 0.0000
0.0000 0.5000 0.0000
0.5000 0.0000 0.0000
0.2500 0.2500 0.5000
0.2500 0.7500 0.5000
0.7500 0.2500 0.5000
0.7500 0.7500 0.5000